PBE with a Hubbard U Rb2FeRhF6, relaxed; total moment = 3.000 μB per cell; final energy = -4.79 eV per atom; DOS at the Fermi energy = 0.0 states/eV/cell
1.0
0.000 4.328 4.328
4.328 0.000 4.328
4.328 4.328 0.000
Rb Fe Rh F
2 1 1 6
direct
0.250 0.250 0.250 Rb
0.750 0.750 0.750 Rb
0.000 0.000 0.000 Fe
0.500 0.500 0.500 Rh
0.229 0.229 0.771 F
0.229 0.771 0.229 F
0.229 0.771 0.771 F
0.771 0.229 0.229 F
0.771 0.229 0.771 F
0.771 0.771 0.229 F